Record 1
An optimized crystal structure of ErTl3Cl6, computed with PBE.

a b c (Å): 7.425 8.159 12.831
angles (deg): 90.00 122.68 90.00
Space group P2_1/c (No. 14)
Unique sites:
Er: 0.000 0.000 0.000
Tl: 0.289 0.069 0.763
Tl: 0.500 0.000 0.500
Cl: 0.101 0.060 0.226
Cl: 0.235 0.732 0.075
Cl: 0.336 0.166 0.043

Properties
Its total energy is -38.3 eV/f.u.

=====

Record 2
An optimized crystal structure of ErTmCl6, computed with PBE.

a b c (Å): 6.762 11.736 6.479
angles (deg): 90.00 110.60 90.00
Space group C2 (No. 5)
Unique sites:
Er: 0.000 0.000 0.000
Tm: 0.000 0.669 0.000
Cl: 0.219 0.834 0.244
Cl: 0.239 0.655 0.761
Cl: 0.241 0.015 0.761

Properties
Its total energy is -38.4 eV/f.u.

=====

Record 3
An optimized crystal structure of HfS4Cl4F2, computed with PBE.

a b c (Å): 6.757 6.886 7.284
angles (deg): 114.35 90.32 119.21
Space group P-1 (No. 2)
Unique sites:
Hf: 0.000 0.000 0.000
S: 0.331 0.781 0.309
S: 0.389 0.132 0.502
Cl: 0.144 0.748 0.779
Cl: 0.413 0.369 0.169
F: 0.028 0.893 0.210

Properties
Its total energy is -51.5 eV/f.u.

=====

Record 4
An optimized crystal structure of IrCl4F6, computed with PBE.

a b c (Å): 4.949 10.189 7.062
angles (deg): 90.00 94.40 90.00
Space group P2_1/c (No. 14)
Unique sites:
Ir: 0.000 0.000 0.000
Cl: 0.235 0.137 0.537
Cl: 0.459 0.651 0.122
F: 0.105 0.648 0.357
F: 0.156 0.581 0.725
F: 0.325 0.088 0.961

Properties
Its total energy is -37.0 eV/f.u.

=====

Record 5
An optimized crystal structure of NbNCl2F6, computed with PBE.

a b c (Å): 9.699 10.608 10.774
angles (deg): 90.00 90.00 90.00
Space group Cmce (No. 64)
Unique sites:
Nb: 0.000 0.197 0.066
N: 0.250 0.039 0.750
Cl: 0.174 0.042 0.356
F: 0.000 0.029 0.135
F: 0.000 0.134 0.492
F: 0.130 0.249 0.689
F: 0.153 0.157 0.960

Properties
Its total energy is -49.7 eV/f.u.

=====

Record 6
An optimized crystal structure of Pr4N2ClF, computed with PBE.

a b c (Å): 3.6427 3.6427 13.4958
angles (deg): 90.00 90.00 120.00
Space group P-6m2 (No. 187)
Unique sites:
Pr: 0.0000 0.0000 0.1358
Pr: 0.3333 0.6667 0.3368
N: 0.6667 0.3333 0.2308
Cl: 0.0000 0.0000 0.5000
F: 0.3333 0.6667 0.0000

Properties
Its total energy is -53.4 eV/f.u.